DFT (GGA-PBE) results for a geometry-optimized Nb2VInS structure.

Lattice parameters (Å, degrees): 4.620 5.104 4.620 90.00 90.00 90.00
Element x y z (fractional)
In  0.000  0.500  0.000
S  0.500  0.500  0.500
Nb  0.000  0.000  0.500
Nb  0.500  0.000  0.000
V  0.000  0.000  0.000

Output
E_tot: -6.251 eV/atom
DOS(E_F): 5.0 states/eV per cell
formation energy from raw total energies: 974 meV/atom
size of the total moment: 0.00 μB per cell
volume: 108.9 Å³/cell